Run A
Entry from Alexandria: crystalline FeNiOs2 at its relaxed geometry (PBE).

The space group is Amm2 (No. 38) and the conventional cell measures 3.981, 2.627 and 9.575 Å, with angles of 90.00, 90.00 and 90.00 degrees. The inequivalent atoms are Fe at (0.000, 0.000, 0.000), Ni at (0.500, 0.000, 0.131), Os at (0.000, 0.000, 0.737) and Os at (0.500, 0.000, 0.394).

***

Run B
Entry from Alexandria: crystalline FeNiOs2 at its relaxed geometry (PBE).

The space group is C2/m (No. 12) and the conventional cell measures 8.560, 2.650 and 4.649 Å, with angles of 90.00, 100.25 and 90.00 degrees. The inequivalent atoms are Fe at (0.000, 0.000, 0.000), Ni at (0.000, 0.500, 0.500) and Os at (0.247, 0.500, 0.251).

***

In eV/atom, relative to the most stable structure: run A 0.008; run B 0.000.

***

Run A
Entry from Alexandria: crystalline Li2AgOs at its relaxed geometry (PBE).

The space group is P4/mmm (No. 123) and the conventional cell measures 3.965, 3.965 and 3.568 Å, with angles of 90.00, 90.00 and 90.00 degrees. The inequivalent atoms are Li at (0.000, 0.500, 0.000), Ag at (0.000, 0.000, 0.500) and Os at (0.500, 0.500, 0.500).

***

Run B
Entry from Alexandria: crystalline Li2AgOs at its relaxed geometry (PBE).

The space group is Fm-3m (No. 225) and the conventional cell measures 6.045, 6.045 and 6.045 Å, with angles of 90.00, 90.00 and 90.00 degrees. The inequivalent atoms are Li at (0.250, 0.250, 0.250), Ag at (0.000, 0.000, 0.000) and Os at (0.000, 0.000, 0.500).

***

In eV/atom, relative to the most stable structure: run A 0.000; run B 0.075.

***

Run A
Entry from Alexandria: crystalline Y2ReRu at its relaxed geometry (PBE).

The space group is Imm2 (No. 44) and the conventional cell measures 3.345, 4.803 and 10.226 Å, with angles of 90.00, 90.00 and 90.00 degrees. The inequivalent atoms are Y at (0.000, 0.000, 0.000), Y at (0.000, 0.500, 0.222), Re at (0.000, 0.500, 0.761) and Ru at (0.000, 0.000, 0.461).

***

Run B
Entry from Alexandria: crystalline Y2ReRu at its relaxed geometry (PBE).

The space group is R-3m (No. 166, hexagonal axes) and the conventional cell measures 3.3252, 3.3252 and 25.8495 Å, with angles of 90.00, 90.00 and 120.00 degrees. The inequivalent atoms are Y at (0.0000, 0.0000, 0.2482), Re at (0.0000, 0.0000, 0.0000) and Ru at (0.0000, 0.0000, 0.5000).

***

In eV/atom, relative to the most stable structure: run A 0.000; run B 0.359.